Run w
The following is a PBE-GGA calculation of a geometry-optimized Y3TlPt structure, from Alexandria via LeMat-Bulk.

POSCAR file:
```
Y3TlPt
1.0
5.416 0.000 0.000
0.000 6.349 0.000
0.000 0.000 8.340
Y Tl Pt
6 2 2
Direct
0.500 0.438 0.496
0.500 0.198 0.869
0.000 0.674 0.785
0.500 0.938 0.504
0.000 0.174 0.215
0.500 0.698 0.131
0.000 0.683 0.362
0.000 0.183 0.638
0.500 0.703 0.798
0.500 0.203 0.202
```

Properties
As for the space group: Pmc2_1 (26).



Run x
The following is a PBE-GGA calculation of a geometry-optimized Y3TlPt structure, from Alexandria via LeMat-Bulk.

POSCAR file:
```
Y3TlPt
1.0
5.432 0.000 0.000
0.000 5.432 0.000
0.000 0.000 5.432
Y Tl Pt
3 1 1
Direct
0.000 0.500 0.000
0.000 0.000 0.500
0.500 0.000 0.000
0.500 0.500 0.500
0.000 0.000 0.000
```

Properties
As for the space group: Pm-3m (221).



Short version: run x is the least stable of them.



Run w
The following is a PBE-GGA calculation of a geometry-optimized TlZn2Pt structure, from Alexandria via LeMat-Bulk.

POSCAR file:
```
TlZn2Pt
1.0
4.278 0.000 0.000
0.000 3.493 0.225
0.000 0.800 5.093
Pt Tl Zn
1 1 2
Direct
0.000 0.319 0.494
0.500 0.769 0.702
0.000 0.981 0.083
0.500 0.430 0.220
```

Properties
As for the space group: Pm (6).



Run x
The following is a PBE-GGA calculation of a geometry-optimized TlZn2Pt structure, from Alexandria via LeMat-Bulk.

POSCAR file:
```
TlZn2Pt
1.0
8.917 -0.030 -0.018
8.379 3.051 -0.018
8.379 1.463 2.677
Pt Tl Zn
1 1 2
Direct
0.509 0.509 0.509
0.751 0.751 0.751
0.992 0.992 0.992
0.248 0.248 0.248
```

Properties
As for the space group: R3m (160).



Run y
The following is a PBE-GGA calculation of a geometry-optimized TlZn2Pt structure, from Alexandria via LeMat-Bulk.

POSCAR file:
```
TlZn2Pt
1.0
4.822 0.308 -0.513
-1.656 4.539 -0.513
0.295 0.452 3.032
Pt Tl Zn
1 1 2
Direct
0.500 0.000 0.500
0.000 0.500 0.500
0.000 0.000 0.000
0.500 0.500 0.000
```

Properties
As for the space group: Cmmm (65).



Run z
The following is a PBE-GGA calculation of a geometry-optimized TlZn2Pt structure, from Alexandria via LeMat-Bulk.

POSCAR file:
```
TlZn2Pt
1.0
-1.652 0.672 -2.978
-2.605 -0.408 1.354
-3.289 6.698 3.336
Pt Tl Zn
1 1 2
Direct
0.500 0.250 0.250
0.500 0.750 0.750
0.000 0.969 0.064
0.000 0.531 0.436
```

Properties
As for the space group: P2/m (10).



Short version: run x is the least stable of them.



Run w
The following is a PBE-GGA calculation of a geometry-optimized Tl3ZnPt structure, from Alexandria via LeMat-Bulk.

POSCAR file:
```
Tl3ZnPt
1.0
-0.791 3.636 3.870
-3.239 -3.431 2.561
4.208 -1.958 2.699
Tl Zn Pt
3 1 1
Direct
0.000 0.500 0.000
0.000 0.000 0.500
0.500 0.000 0.000
0.500 0.500 0.500
0.000 0.000 0.000
```

Properties
As for the space group: Pm-3m (221).



Run x
The following is a PBE-GGA calculation of a geometry-optimized Tl3ZnPt structure, from Alexandria via LeMat-Bulk.

POSCAR file:
```
Tl3ZnPt
1.0
-1.857 -4.359 2.144
4.790 -1.261 1.584
-0.808 2.541 4.465
Tl Zn Pt
3 1 1
Direct
0.000 0.500 0.000
0.000 0.000 0.500
0.500 0.000 0.000
0.000 0.000 0.000
0.500 0.500 0.500
```

Properties
As for the space group: Pm-3m (221).



Short version: run x is the least stable of them.



Run w
The following is a PBE-GGA calculation of a geometry-optimized ZrTl3Pt structure, from Alexandria via LeMat-Bulk.

POSCAR file:
```
ZrTl3Pt
1.0
-1.549 -1.571 4.739
2.876 -4.336 -0.497
4.080 2.460 2.150
Tl Zr Pt
3 1 1
Direct
0.000 0.500 0.000
0.000 0.000 0.500
0.500 0.000 0.000
0.500 0.500 0.500
0.000 0.000 0.000
```

Properties
As for the space group: Pm-3m (221).



Run x
The following is a PBE-GGA calculation of a geometry-optimized ZrTl3Pt structure, from Alexandria via LeMat-Bulk.

POSCAR file:
```
ZrTl3Pt
1.0
-2.197 4.516 2.440
2.121 -1.619 4.905
4.674 2.857 -1.078
Tl Zr Pt
3 1 1
Direct
0.000 0.500 0.000
0.000 0.000 0.500
0.500 0.000 0.000
0.000 0.000 0.000
0.500 0.500 0.500
```

Properties
As for the space group: Pm-3m (221).



Short version: run x is the least stable of them.